(1)
# NaTiSbI2, relaxed, DFT PBEsol
# - DFT total energy (eV/atom) = -3.897
# - DOS(E_F) (states/eV/cell) = 2.8
# - energy relative to the elements, uncorrected (eV/atom) = -0.33
# - M_tot (μB/atom) = 0.001
# - ρ (g/cm3) = 4.5
data_NaTiSbI2
_symmetry_space_group_name_H-M 'P 4/m m m'
_symmetry_Int_Tables_number 123
_symmetry_space_group_name_Hall '-P 4 2'
_cell_length_a 5.545
_cell_length_b 5.545
_cell_length_c 5.318
_cell_angle_alpha 90.00
_cell_angle_beta 90.00
_cell_angle_gamma 90.00
loop_
_atom_site_label
_atom_site_fract_x
_atom_site_fract_y
_atom_site_fract_z
Na1 0.000 0.000 0.000
Ti1 0.500 0.500 0.500
Sb1 0.500 0.500 0.000
I1 0.000 0.500 0.500



(2)
# MgPbBr2, relaxed, DFT PBEsol
# - DFT total energy (eV/atom) = -2.916
# - DOS(E_F) (states/eV/cell) = 3.4
# - energy relative to the elements, uncorrected (eV/atom) = -0.55
# - M_tot (μB/atom) = 0.000
# - ρ (g/cm3) = 5.9
data_MgPbBr2
_symmetry_space_group_name_H-M 'I -4 2 d'
_symmetry_Int_Tables_number 122
_symmetry_space_group_name_Hall 'I -4 2bw'
_cell_length_a 8.050
_cell_length_b 8.050
_cell_length_c 6.755
_cell_angle_alpha 90.00
_cell_angle_beta 90.00
_cell_angle_gamma 90.00
loop_
_atom_site_label
_atom_site_fract_x
_atom_site_fract_y
_atom_site_fract_z
Mg1 0.000 0.000 0.000
Pb1 0.000 0.000 0.500
Br1 0.204 0.750 0.125



(3)
# BSbI2O, relaxed, DFT PBEsol
# - DFT total energy (eV/atom) = -3.403
# - DOS(E_F) (states/eV/cell) = 1.7
# - energy relative to the elements, uncorrected (eV/atom) = 0.67
# - M_tot (μB/atom) = 0.000
# - ρ (g/cm3) = 4.7
data_BSbI2O
_symmetry_space_group_name_H-M 'P 4/m m m'
_symmetry_Int_Tables_number 123
_symmetry_space_group_name_Hall '-P 4 2'
_cell_length_a 5.948
_cell_length_b 5.948
_cell_length_c 4.025
_cell_angle_alpha 90.00
_cell_angle_beta 90.00
_cell_angle_gamma 90.00
loop_
_atom_site_label
_atom_site_fract_x
_atom_site_fract_y
_atom_site_fract_z
B1 0.000 0.000 0.000
Sb1 0.500 0.500 0.500
I1 0.000 0.500 0.500
O1 0.500 0.500 0.000



- Number 3 is which compound?
  BSbI2O